No. 1
Compound: Th8Ni2Ru
Source: Alexandria
Functional: GGA-PBE
Structure: relaxed

Output
DFT formation energy, meV per atom: -79

CIF file:
```
data_Th8Ni2Ru
_symmetry_space_group_name_H-M 'C 1 m 1'
_symmetry_Int_Tables_number 8
_cell_length_a 8.026
_cell_length_b 13.202
_cell_length_c 6.146
_cell_angle_alpha 90.00
_cell_angle_beta 110.08
_cell_angle_gamma 90.00
loop_
_symmetry_equiv_pos_as_xyz
'x,y,z'
'x,-y,z'
'x+1/2,y+1/2,z'
'x+1/2,-y+1/2,z'
loop_
_atom_site_label
_atom_site_type_symbol
_atom_site_fract_x
_atom_site_fract_y
_atom_site_fract_z
Th1 Th 0.000 0.000 0.000
Th2 Th 0.093 0.373 0.792
Th3 Th 0.129 0.128 0.559
Th4 Th 0.217 0.500 0.362
Th5 Th 0.333 0.207 0.170
Ni1 Ni 0.381 0.296 0.712
Ru1 Ru 0.364 0.000 0.403
```


No. 2
Compound: ErZr4N4
Source: Alexandria
Functional: GGA-PBE
Structure: relaxed

Output
Raw formation energy, meV/atom: -1539.9

CIF file:
```
data_ErZr4N4
_symmetry_space_group_name_H-M 'I 4/m'
_symmetry_Int_Tables_number 87
_symmetry_space_group_name_Hall '-I 4'
_cell_length_a 7.433
_cell_length_b 7.433
_cell_length_c 4.605
_cell_angle_alpha 90.00
_cell_angle_beta 90.00
_cell_angle_gamma 90.00
loop_
_atom_site_label
_atom_site_type_symbol
_atom_site_fract_x
_atom_site_fract_y
_atom_site_fract_z
Er1 Er 0.000 0.000 0.000
Zr1 Zr 0.111 0.685 0.500
N1 N 0.101 0.695 0.000
```


No. 3
Compound: Tb3GaCu8
Source: Alexandria
Functional: GGA-PBE
Structure: relaxed

Output
DFT formation energy, meV per atom: -206

CIF file:
```
data_Tb3GaCu8
_symmetry_space_group_name_H-M 'R 3 m'
_symmetry_Int_Tables_number 160
_symmetry_space_group_name_Hall 'R 3 -2"'
_cell_length_a 5.1693
_cell_length_b 5.1693
_cell_length_c 25.3406
_cell_angle_alpha 90.00
_cell_angle_beta 90.00
_cell_angle_gamma 120.00
loop_
_atom_site_label
_atom_site_type_symbol
_atom_site_fract_x
_atom_site_fract_y
_atom_site_fract_z
Tb1 Tb 0.0000 0.0000 0.0000
Tb2 Tb 0.0000 0.0000 0.1265
Tb3 Tb 0.0000 0.0000 0.6129
Ga1 Ga 0.0000 0.0000 0.4885
Cu1 Cu 0.0000 0.0000 0.3080
Cu2 Cu 0.0000 0.0000 0.8095
Cu3 Cu 0.0009 0.5005 0.0596
Cu4 Cu 0.0059 0.5030 0.5583
```


No. 4
Compound: CuNi
Source: Alexandria
Functional: GGA-PBE
Structure: relaxed

Output
DFT formation energy, meV per atom: 587

CIF file:
```
data_CuNi
_symmetry_space_group_name_H-M 'P 63/m m c'
_symmetry_Int_Tables_number 194
_symmetry_space_group_name_Hall '-P 6c 2c'
_cell_length_a 3.5757
_cell_length_b 3.5757
_cell_length_c 4.8482
_cell_angle_alpha 90.00
_cell_angle_beta 90.00
_cell_angle_gamma 120.00
loop_
_atom_site_label
_atom_site_type_symbol
_atom_site_fract_x
_atom_site_fract_y
_atom_site_fract_z
Cu1 Cu 0.0000 0.0000 0.0000
Ni1 Ni 0.3333 0.6667 0.2500
```